An optimized crystal structure of PrZnSi. Source: the Alexandria database, functional GGA-PBE.

As for the density: 5.455 g/cm3. The uncorrected formation energy is -79 meV/atom.

It has space group I4mm (No. 107), with a = 4.1464 Å, b = 4.1464 Å, c = 8.3004 Å, α = 90.00°, β = 90.00° and γ = 90.00°. Symmetry generates all atoms from Pr at (0.0000, 0.0000, 0.0000), Zn at (0.0000, 0.0000, 0.6527) and Si at (0.0000, 0.0000, 0.3570).